# 1
# Pr5Sm2Tl

Crystalline Pr5Sm2Tl at its relaxed geometry (GGA-PBE, the Alexandria database).

Geometry as POSCAR:
```
Pr5Sm2Tl
1.0
7.2853 0.0000 0.0000
0.0000 14.6492 0.0000
0.0000 0.0000 5.0501
Pr Sm Tl
10 4 2
Direct
0.0000 0.0000 0.0000
0.0029 0.2597 0.0000
0.2487 0.6237 0.5000
0.2513 0.1237 0.5000
0.4971 0.7597 0.0000
0.5000 0.5000 0.0000
0.5029 0.2403 0.0000
0.7487 0.8763 0.5000
0.7513 0.3763 0.5000
0.9971 0.7403 0.0000
0.2505 0.3784 0.5000
0.2495 0.8784 0.5000
0.7505 0.1216 0.5000
0.7495 0.6216 0.5000
0.0000 0.5000 0.0000
0.5000 0.0000 0.0000
```

Values from the calculation:
Space-group type: Pbam (55)
Energy: -4.52 eV/atom
Energy above the most stable polymorph in this dataset: 0.0 meV/atom
Energy of formation from the pure elements: -0.0541 eV/atom
Spin magnetization: 0.000 μB/f.u.

---

# 2
# PrSm5Tl6

Crystalline PrSm5Tl6 at its relaxed geometry (GGA-PBE, the Alexandria database).

Geometry as POSCAR:
```
PrSm5Tl6
1.0
5.5006 0.0000 0.0000
0.0000 7.6884 0.0000
-2.6993 0.0000 8.2566
Pr Sm Tl
1 5 6
Direct
0.0000 0.0000 0.0000
0.0000 0.5000 0.0000
0.3332 0.0000 0.6662
0.3349 0.5000 0.6698
0.6651 0.5000 0.3302
0.6668 0.0000 0.3338
0.1682 0.2526 0.3367
0.1682 0.7474 0.3367
0.5000 0.2522 0.0000
0.5000 0.7478 0.0000
0.8318 0.2526 0.6633
0.8318 0.7474 0.6633
```

Values from the calculation:
Space-group type: P2/m (10)
Energy: -3.93 eV/atom
Energy of formation from the pure elements: -0.3815 eV/atom
Spin magnetization: 0.000 μB/f.u.

---

# 3
# PrSm4Tl5

Crystalline PrSm4Tl5 at its relaxed geometry (GGA-PBE, the Alexandria database).

Geometry as POSCAR:
```
PrSm4Tl5
1.0
3.8526 0.0000 0.0000
0.0000 3.8526 0.0000
0.0000 0.0000 19.6183
Pr Sm Tl
1 4 5
Direct
0.0000 0.0000 0.0000
0.0000 0.0000 0.2032
0.0000 0.0000 0.4010
0.0000 0.0000 0.5990
0.0000 0.0000 0.7968
0.5000 0.5000 0.1046
0.5000 0.5000 0.3022
0.5000 0.5000 0.5000
0.5000 0.5000 0.6978
0.5000 0.5000 0.8954
```

Values from the calculation:
Space-group type: P4/mmm (123)
Energy: -3.93 eV/atom
Energy of formation from the pure elements: -0.3829 eV/atom
Spin magnetization: 0.000 μB/f.u.

---

# 4
# Pr2Sm9Tl

Crystalline Pr2Sm9Tl at its relaxed geometry (GGA-PBE, the Alexandria database).

Geometry as POSCAR:
```
Pr2Sm9Tl
1.0
5.0516 0.0000 0.0000
0.0000 5.0516 0.0000
0.0000 0.0000 15.5128
Pr Sm Tl
2 9 1
Direct
0.0000 0.0000 0.1695
0.0000 0.0000 0.8305
0.0000 0.5000 0.0000
0.0000 0.5000 0.3398
0.0000 0.5000 0.6602
0.5000 0.0000 0.0000
0.5000 0.0000 0.3398
0.5000 0.0000 0.6602
0.5000 0.5000 0.1717
0.5000 0.5000 0.5000
0.5000 0.5000 0.8283
0.0000 0.0000 0.5000
```

Values from the calculation:
Space-group type: P4/mmm (123)
Energy: -4.57 eV/atom
Energy of formation from the pure elements: -0.0404 eV/atom
Spin magnetization: 0.000 μB/f.u.